Entry 1:
## LaPrPu2Se4 (PBE-GGA)

Data for an optimized crystal structure of LaPrPu2Se4.

abc: 7.282 4.206 7.346
angles: 90.00 109.30 90.00
Space group P2/m (No. 10)
Asymmetric unit:
La 0.000 0.000 0.000 (multiplicity 1)
Pr 0.500 0.500 0.000 (multiplicity 1)
Pu 0.000 0.500 0.500 (multiplicity 1)
Pu 0.500 0.000 0.500 (multiplicity 1)
Se 0.247 0.000 0.739 (multiplicity 2)
Se 0.255 0.500 0.262 (multiplicity 2)

Calculated values
- energy relative to the elements, uncorrected (eV/f.u.) = -13.9
- electronic total energy (eV/atom) = -8.274
- D(E_F) (states/eV per cell) = 18.6

Entry 2:
## Zr2CuPb (PBE-GGA)

Data for an optimized crystal structure of Zr2CuPb.

abc: 3.3347 3.3347 27.3406
angles: 90.00 90.00 120.00
Space group R-3m (No. 166, hexagonal axes)
Asymmetric unit:
Zr 0.0000 0.0000 0.2384 (multiplicity 6)
Cu 0.0000 0.0000 0.5000 (multiplicity 3)
Pb 0.0000 0.0000 0.0000 (multiplicity 3)

Calculated values
- calculated formation energy (eV per formula unit) = 0.27
- electronic total energy (eV/atom) = -6.157
- D(E_F) (states/eV per cell) = 12.4

Entry 3:
## TaCoNi2 (PBE-GGA)

Data for an optimized crystal structure of TaCoNi2.

abc: 2.6740 2.6740 25.2485
angles: 90.00 90.00 120.00
Space group R3m (No. 160, hexagonal axes)
Asymmetric unit:
Ta 0.0000 0.0000 0.0000 (multiplicity 3)
Co 0.0000 0.0000 0.7570 (multiplicity 3)
Ni 0.0000 0.0000 0.2459 (multiplicity 3)
Ni 0.0000 0.0000 0.4999 (multiplicity 3)

Calculated values
- calculated formation energy (eV per formula unit) = 0.69
- electronic total energy (eV/atom) = -7.458
- D(E_F) (states/eV per cell) = 13.9
- distance to the lowest polymorph of the same formula (meV per atom) = 502.3

Entry 4:
## Co2AsPb (PBE-GGA)

Data for an optimized crystal structure of Co2AsPb.

abc: 4.198 3.189 5.247
angles: 90.00 111.53 90.00
Space group P2/m (No. 10)
Asymmetric unit:
Co 0.000 0.000 0.000 (multiplicity 1)
Co 0.500 0.500 0.500 (multiplicity 1)
As 0.000 0.000 0.500 (multiplicity 1)
Pb 0.500 0.500 0.000 (multiplicity 1)

Calculated values
- calculated formation energy (eV per formula unit) = 1.80
- electronic total energy (eV/atom) = -5.193
- D(E_F) (states/eV per cell) = 4.5
- distance to the lowest polymorph of the same formula (meV per atom) = 335.1

> Which value of D(E_F) does entry 1 give?

18.6 states/eV per cell